The following is a DFT calculation (meta-GGA SCAN) of a PBEsol-optimized structure of Ba2ZnIr.

Output
The formation energy is -0.173 eV per atom. The calculation puts the total energy at -41.10 eV per atom.

Cell: 4.413 4.418 7.943 Å, 106.14 106.13 90.00°
Element x y z (fractional)
Zn (0.834, 0.334, 0.667)
Ir (0.407, 0.407, 0.815)
Ba (0.259, 0.759, 0.518)
Ba (0.000, 0.000, 0.000)


The following is a DFT calculation (meta-GGA SCAN) of a PBEsol-optimized structure of Sr5Al3F19.

Output
The calculation puts the total energy at -11.53 eV per atom.

Cell: 7.137 10.545 10.545 Å, 83.42 70.22 70.22°
Each line ends with the local moment (μB).
Element x y z (fractional)
F (0.247, 0.520, 0.986)  0.00
F (0.547, 0.340, 0.567)  0.01
F (0.359, 0.928, 0.834)  0.00
F (0.287, 0.834, 0.072)  0.00
F (0.453, 0.660, 0.433)  0.01
F (0.082, 0.348, 0.141)  0.01
F (0.081, 0.393, 0.795)  0.01
F (0.124, 0.795, 0.607)  0.01
F (0.753, 0.480, 0.014)  0.00
F (0.807, 0.834, 0.072)  0.00
F (0.500, 0.000, 0.000)  0.00
F (0.918, 0.652, 0.859)  0.01
F (0.073, 0.310, 0.543)  0.06
F (0.114, 0.433, 0.340)  0.01
F (0.233, 0.014, 0.520)  0.00
F (0.879, 0.928, 0.834)  0.00
F (0.730, 0.393, 0.795)  0.01
F (0.474, 0.795, 0.607)  0.01
F (0.713, 0.166, 0.928)  0.00
F (0.767, 0.986, 0.480)  0.00
F (0.270, 0.607, 0.205)  0.01
F (0.776, 0.141, 0.652)  0.01
F (0.876, 0.205, 0.393)  0.01
F (0.224, 0.859, 0.348)  0.01
F (0.571, 0.652, 0.859)  0.01
F (0.886, 0.567, 0.660)  0.01
F (0.919, 0.607, 0.205)  0.01
F (0.121, 0.072, 0.166)  0.00
F (0.384, 0.543, 0.690)  0.06
F (0.616, 0.457, 0.310)  0.06
F (0.570, 0.859, 0.348)  0.01
F (0.641, 0.072, 0.166)  0.00
F (0.000, 0.000, 0.000)  0.00
F (0.927, 0.690, 0.457)  0.06
F (0.193, 0.166, 0.928)  0.00
F (0.430, 0.141, 0.652)  0.01
F (0.429, 0.348, 0.141)  0.01
F (0.526, 0.205, 0.393)  0.01
Sr (0.054, 0.164, 0.727)  0.00
Sr (0.747, 0.828, 0.679)  0.00
Sr (0.426, 0.321, 0.828)  0.00
Sr (0.218, 0.727, 0.836)  0.00
Sr (0.253, 0.172, 0.321)  0.00
Sr (0.250, 0.500, 0.500)  0.00
Sr (0.946, 0.836, 0.273)  0.00
Sr (0.574, 0.679, 0.172)  0.00
Sr (0.750, 0.500, 0.500)  0.00
Sr (0.782, 0.273, 0.164)  0.00
Al (0.659, 0.162, 0.520)  0.00
Al (0.748, 0.000, 0.000)  0.00
Al (0.821, 0.520, 0.838)  0.00
Al (0.179, 0.480, 0.162)  0.00
Al (0.341, 0.838, 0.480)  0.00
Al (0.252, 0.000, 0.000)  0.00


The following is a DFT calculation (meta-GGA SCAN) of a PBEsol-optimized structure of Ba2TaRu.

Output
The formation energy is 1.280 eV per atom. The calculation puts the total energy at -43.85 eV per atom.

Cell: 4.197 4.197 5.584 Å, 90.00 90.00 90.00°
Element x y z (fractional)
Ru (0.500, 0.500, 0.500)
Ta (0.000, 0.000, 0.500)
Ba (0.500, 0.000, 0.000)
Ba (0.000, 0.500, 0.000)


The following is a DFT calculation (meta-GGA SCAN) of a PBEsol-optimized structure of MnFe2Co.

Output
The formation energy is 0.025 eV per atom. The calculation puts the total energy at -17.93 eV per atom.

Cell: 2.405 3.941 4.599 Å, 90.00 99.59 90.00°
Each line ends with the local moment (μB).
Element x y z (fractional)
Fe (0.753, 0.500, 0.251)  2.45
Fe (0.996, 0.000, 0.000)  2.48
Mn (0.503, 0.000, 0.498)  2.26
Co (0.247, 0.500, 0.750)  1.77


The following is a DFT calculation (meta-GGA SCAN) of a PBEsol-optimized structure of Ta3Cu.

Output
The formation energy is 0.050 eV per atom. The calculation puts the total energy at -53.69 eV per atom.

Cell: 2.761 2.761 8.727 Å, 90.00 90.00 103.24°
Element x y z (fractional)
Cu (0.000, 0.000, 0.000)
Ta (0.500, 0.500, 0.767)
Ta (0.500, 0.500, 0.233)
Ta (0.000, 0.000, 0.500)


The following is a DFT calculation (meta-GGA SCAN) of a PBEsol-optimized structure of ZrTa2Rh.

Output
The formation energy is -0.299 eV per atom. The calculation puts the total energy at -49.71 eV per atom.

Cell: 4.589 4.589 4.589 Å, 60.00 60.00 60.00°
Element x y z (fractional)
Rh (0.500, 0.500, 0.500)
Ta (0.000, 0.000, 0.000)
Ta (0.750, 0.750, 0.750)
Zr (0.250, 0.250, 0.250)